The following is a DFT calculation (PBE-GGA) of a relaxed SiO2 crystal.

Cell lengths 2.695, 6.713, 6.708 Å; angles 87.58, 78.41, 78.42 degrees
Element x y z (fractional)
Si1 0.827 0.819 0.521
Si2 0.646 0.520 0.182
Si3 0.348 0.479 0.820
Si4 0.167 0.181 0.481
O1 0.539 0.295 0.622
O2 0.835 0.619 0.705
O3 0.159 0.380 0.297
O4 0.455 0.705 0.380
O5 0.202 0.948 0.642
O6 0.151 0.641 0.052
O7 0.792 0.051 0.360
O8 0.843 0.359 0.951

Computed properties:
formation energy without anion corrections = -2.566 eV/atom
mass density = 3.4 g/cm3
size of the total moment = 0.000 μB per atom

The following is a DFT calculation (PBE-GGA) of a relaxed SiO2 crystal.

Cell lengths 5.086, 5.135, 7.116 Å; angles 90.00, 90.00, 90.00 degrees
Element x y z (fractional)
Si1 0.000 0.037 0.625
Si2 0.500 0.463 0.125
Si3 0.500 0.963 0.375
Si4 0.000 0.537 0.875
O1 0.450 0.672 0.293
O2 0.950 0.328 0.707
O3 0.450 0.172 0.207
O4 0.301 0.512 0.950
O5 0.801 0.988 0.450
O6 0.950 0.828 0.793
O7 0.301 0.012 0.550
O8 0.801 0.488 0.050

Computed properties:
formation energy without anion corrections = -2.800 eV/atom
mass density = 2.1 g/cm3
size of the total moment = 0.000 μB per atom

The following is a DFT calculation (PBE-GGA) of a relaxed SiO2 crystal.

Cell lengths 3.807, 3.807, 3.807 Å; angles 90.00, 90.00, 90.00 degrees
Element x y z (fractional)
Si1 0.500 0.500 0.500
Si2 0.000 0.000 0.000
O1 0.250 0.250 0.250
O2 0.750 0.250 0.750
O3 0.250 0.750 0.750
O4 0.750 0.750 0.250

Computed properties:
formation energy without anion corrections = -2.410 eV/atom
mass density = 3.6 g/cm3
size of the total moment = 0.000 μB per atom

The following is a DFT calculation (PBE-GGA) of a relaxed SiO2 crystal.

Cell lengths 6.916, 6.916, 7.136 Å; angles 90.00, 90.00, 90.00 degrees
Element x y z (fractional)
Si1 0.206 0.451 0.948
Si2 0.049 0.294 0.552
Si3 0.951 0.706 0.552
Si4 0.451 0.794 0.052
Si5 0.794 0.549 0.948
Si6 0.706 0.049 0.448
Si7 0.294 0.951 0.448
Si8 0.549 0.206 0.052
O1 0.158 0.818 0.582
O2 0.342 0.318 0.082
O3 0.658 0.682 0.082
O4 0.000 0.500 0.049
O5 0.161 0.339 0.750
O6 0.500 0.000 0.951
O7 0.682 0.342 0.918
O8 0.318 0.658 0.918
O9 0.000 0.500 0.451
O10 0.842 0.182 0.582
O11 0.500 0.000 0.549
O12 0.182 0.158 0.418
O13 0.818 0.842 0.418
O14 0.661 0.161 0.250
O15 0.339 0.839 0.250
O16 0.839 0.661 0.750

Computed properties:
formation energy without anion corrections = -2.728 eV/atom
mass density = 2.3 g/cm3
size of the total moment = 0.000 μB per atom

The following is a DFT calculation (PBE-GGA) of a relaxed SiO2 crystal.

Cell lengths 5.127, 5.127, 8.938 Å; angles 71.05, 71.05, 58.43 degrees
Element x y z (fractional)
Si1 0.349 0.026 0.187
Si2 0.651 0.974 0.813
Si3 0.026 0.349 0.687
Si4 0.974 0.651 0.313
O1 0.203 0.387 0.202
O2 0.613 0.797 0.298
O3 0.929 0.071 0.750
O4 0.071 0.929 0.250
O5 0.797 0.613 0.798
O6 0.387 0.203 0.702
O7 0.500 0.000 0.000
O8 0.000 0.500 0.500

Computed properties:
formation energy without anion corrections = -2.797 eV/atom
mass density = 2.1 g/cm3
size of the total moment = 0.000 μB per atom

The following is a DFT calculation (PBE-GGA) of a relaxed Si23O4 crystal.

Cell lengths 10.118, 10.118, 10.118 Å; angles 90.00, 90.00, 90.00 degrees
Each line ends with the local moment (μB).
Element x y z (fractional)
Si1 0.250 0.000 0.500  0.03
Si2 0.750 0.000 0.500  0.03
Si3 0.000 0.500 0.250  0.03
Si4 0.000 0.500 0.750  0.03
Si5 0.500 0.250 0.000  0.03
Si6 0.500 0.750 0.000  0.03
Si7 0.682 0.682 0.682  0.06
Si8 0.682 0.318 0.318  0.06
Si9 0.318 0.682 0.318  0.06
Si10 0.318 0.318 0.682  0.06
Si11 0.818 0.818 0.818  0.06
Si12 0.818 0.182 0.182  0.06
Si13 0.182 0.818 0.182  0.06
Si14 0.182 0.182 0.818  0.06
Si15 0.318 0.318 0.318  0.06
Si16 0.318 0.682 0.682  0.06
Si17 0.682 0.318 0.682  0.06
Si18 0.682 0.682 0.318  0.06
Si19 0.182 0.182 0.182  0.06
Si20 0.182 0.818 0.818  0.06
Si21 0.818 0.182 0.818  0.06
Si22 0.818 0.818 0.182  0.06
Si23 0.000 0.689 0.885  0.03
Si24 0.000 0.311 0.115  0.03
Si25 0.000 0.689 0.115  0.03
Si26 0.000 0.311 0.885  0.03
Si27 0.689 0.885 0.000  0.03
Si28 0.689 0.115 0.000  0.03
Si29 0.311 0.885 0.000  0.03
Si30 0.311 0.115 0.000  0.03
Si31 0.885 0.000 0.689  0.03
Si32 0.885 0.000 0.311  0.03
Si33 0.115 0.000 0.311  0.03
Si34 0.115 0.000 0.689  0.03
Si35 0.811 0.500 0.615  0.03
Si36 0.811 0.500 0.385  0.03
Si37 0.189 0.500 0.385  0.03
Si38 0.189 0.500 0.615  0.03
Si39 0.500 0.615 0.811  0.03
Si40 0.500 0.385 0.189  0.03
Si41 0.500 0.615 0.189  0.03
Si42 0.500 0.385 0.811  0.03
Si43 0.615 0.811 0.500  0.03
Si44 0.615 0.189 0.500  0.03
Si45 0.385 0.811 0.500  0.03
Si46 0.385 0.189 0.500  0.03
O1 0.000 0.000 0.000  0.96
O2 0.500 0.500 0.500  0.96
O3 0.250 0.500 0.000  1.05
O4 0.750 0.500 0.000  1.05
O5 0.500 0.000 0.250  1.05
O6 0.500 0.000 0.750  1.05
O7 0.000 0.250 0.500  1.05
O8 0.000 0.750 0.500  1.05

Computed properties:
formation energy without anion corrections = 0.364 eV/atom
mass density = 2.3 g/cm3
size of the total moment = 0.256 μB per atom

The following is a DFT calculation (PBE-GGA) of a relaxed Si2O crystal.

Cell lengths 6.618, 6.618, 6.618 Å; angles 60.00, 60.00, 60.00 degrees
Each line ends with the local moment (μB).
Element x y z (fractional)
Si1 0.625 0.625 0.625  0.05
Si2 0.125 0.625 0.625  0.05
Si3 0.625 0.625 0.125  0.05
Si4 0.625 0.125 0.625  0.05
O1 0.500 0.500 0.500  0.02
O2 0.750 0.750 0.750  0.02

Computed properties:
energy above the lowest structure with this stoichiometry = 1561 meV per atom
formation energy without anion corrections = 0.920 eV/atom
mass density = 1.2 g/cm3
size of the total moment = 0.149 μB per atom

The following is a DFT calculation (PBE-GGA) of a relaxed SiO2 crystal.

Cell lengths 8.793, 8.793, 4.285 Å; angles 90.00, 90.00, 120.00 degrees
Each line ends with the local moment (μB).
Element x y z (fractional)
Si1 0.000 0.660 0.338  0.00
Si2 0.660 0.000 0.338  0.00
Si3 0.340 0.000 0.662  0.00
Si4 0.340 0.340 0.338  0.00
Si5 0.000 0.340 0.662  0.00
Si6 0.660 0.660 0.662  0.00
O1 0.667 0.833 0.500  0.00
O2 0.000 0.500 0.000  0.20
O3 0.167 0.833 0.500  0.00
O4 0.167 0.333 0.500  0.00
O5 0.500 0.500 0.500  0.10
O6 0.833 0.667 0.500  0.00
O7 0.333 0.167 0.500  0.00
O8 0.833 0.167 0.500  0.00
O9 0.500 0.000 0.000  0.20
O10 0.000 0.500 0.500  0.10
O11 0.500 0.000 0.500  0.10
O12 0.500 0.500 0.000  0.20

Computed properties:
formation energy without anion corrections = -1.544 eV/atom
mass density = 2.1 g/cm3
size of the total moment = 0.053 μB per atom

The following is a DFT calculation (PBE-GGA) of a relaxed SiO2 crystal.

Cell lengths 9.680, 9.680, 9.680 Å; angles 60.00, 60.00, 60.00 degrees
Element x y z (fractional)
Si1 0.114 0.114 0.114
Si2 0.886 0.886 0.343
Si3 0.343 0.886 0.886
Si4 0.886 0.343 0.886
Si5 0.657 0.114 0.114
Si6 0.114 0.657 0.114
Si7 0.114 0.114 0.657
Si8 0.886 0.886 0.886
Si9 0.750 0.750 0.750
Si10 0.250 0.250 0.250
O1 0.276 0.000 0.000
O2 0.000 0.000 0.276
O3 0.276 0.724 0.000
O4 0.276 0.000 0.724
O5 0.000 0.276 0.000
O6 0.000 0.276 0.724
O7 0.000 0.724 0.276
O8 0.724 0.276 0.000
O9 0.000 0.724 0.000
O10 0.000 0.000 0.724
O11 0.724 0.000 0.276
O12 0.724 0.000 0.000
O13 0.182 0.182 0.182
O14 0.818 0.818 0.546
O15 0.546 0.818 0.818
O16 0.818 0.546 0.818
O17 0.454 0.182 0.182
O18 0.182 0.454 0.182
O19 0.182 0.182 0.454
O20 0.818 0.818 0.818

Computed properties:
formation energy without anion corrections = -2.787 eV/atom
mass density = 1.6 g/cm3
size of the total moment = 0.000 μB per atom